## SrErAgS3 (GGA-PBE)

Data for SrErAgS3 after structural relaxation.

Unit cell a=8.165 b=4.020 c=8.931 alpha=90.00 beta=104.46 gamma=90.00
Space group P2_1/m (No. 11)
Unique sites:
Sr: 0.201 0.250 0.240 x2
Er: 0.326 0.750 0.837 x2
Ag: 0.098 0.250 0.589 x2
S: 0.105 0.250 0.873 x2
S: 0.260 0.750 0.518 x2
S: 0.441 0.750 0.152 x2

Values from the calculation:
E_form (uncorrected) in meV/atom: -1597
Raw total energy in eV/atom: -5.177